Entry from Alexandria: Pm2Dy6Tm3Zr after structural relaxation (PBE).

Properties
- Uncorrected energy: -0.3580 Ry per atom
- M_tot: 0.000 μB/atom

a b c (Å): 6.0803 6.0803 11.6372
angles (deg): 94.97 94.97 119.91
Last column: nearest neighbours and their distance in Å.
Sites, in units of the cell vectors:
1 Pm 0.1668 0.8332 0.0000  6 Dy 3.51, 3 Zr 3.51, 3 Pm 3.51
2 Pm 0.8332 0.1668 0.0000  6 Dy 3.51, 3 Zr 3.51, 3 Pm 3.51
3 Dy 0.0901 0.4169 0.7515  6 Dy 3.44-3.55, 1 Zr 3.47, 2 Pm 3.51, 3 Tm 3.51-3.55
4 Dy 0.2565 0.2565 0.2481  6 Dy 3.44-3.55, 1 Zr 3.47, 2 Pm 3.51, 3 Tm 3.52-3.55
5 Dy 0.4169 0.0901 0.7515  6 Dy 3.44-3.55, 1 Zr 3.47, 2 Pm 3.51, 3 Tm 3.51-3.55
6 Dy 0.5831 0.9099 0.2485  6 Dy 3.44-3.55, 1 Zr 3.47, 2 Pm 3.51, 3 Tm 3.51-3.55
7 Dy 0.7435 0.7435 0.7519  6 Dy 3.44-3.55, 1 Zr 3.47, 2 Pm 3.51, 3 Tm 3.52-3.55
8 Dy 0.9099 0.5831 0.2485  6 Dy 3.44-3.55, 1 Zr 3.47, 2 Pm 3.51, 3 Tm 3.51-3.55
9 Tm 0.0000 0.0000 0.5000  6 Tm 3.51, 6 Dy 3.51-3.55
10 Tm 0.3336 0.6664 0.5000  6 Tm 3.50-3.52, 6 Dy 3.51-3.55
11 Tm 0.6664 0.3336 0.5000  6 Tm 3.50-3.52, 6 Dy 3.51-3.55
12 Zr 0.5000 0.5000 0.0000  6 Dy 3.47, 6 Pm 3.51